(1)
A plane-wave DFT calculation with PBE was carried out for Ca2OsPt after structural relaxation.

Structure (POSCAR):
```
Ca2OsPt
1.0
5.286 0.000 0.000
0.000 2.885 -0.001
0.000 0.000 5.351
Ca Os Pt
2 1 1
Cartesian
5.286 0.361 4.857
2.643 0.360 1.840
0.000 1.803 2.213
2.643 1.803 4.466
```

Properties
Crystal system ... orthorhombic

---

(2)
A plane-wave DFT calculation with PBE was carried out for DyEr12Tm7 after structural relaxation.

Structure (POSCAR):
```
DyEr12Tm7
1.0
-6.583 -5.456 -0.278
3.368 -2.492 -7.459
4.967 -5.047 4.800
Dy Er Tm
1 12 7
Cartesian
0.000 0.000 0.000
-1.100 -8.510 1.198
-2.943 -5.826 -1.655
-0.581 -5.064 0.763
-1.046 -8.751 -2.088
2.286 -5.972 2.110
2.149 -8.798 0.029
-0.397 -4.197 -2.966
-0.534 -7.023 -5.047
2.799 -4.244 -0.849
2.333 -7.930 -3.700
4.695 -7.168 -1.282
2.852 -4.485 -4.135
1.014 -11.576 -0.385
-1.841 -2.378 0.153
1.895 -2.081 1.070
0.876 -6.497 -1.468
-0.143 -10.914 -4.007
3.593 -10.617 -3.090
0.739 -1.419 -2.551
```

Properties
Crystal system ... trigonal

---

(3)
A plane-wave DFT calculation with PBE was carried out for LaFeOs3 after structural relaxation.

Structure (POSCAR):
```
LaFeOs3
1.0
4.551 0.000 0.000
0.000 4.551 0.000
0.000 0.000 4.551
Os Fe La
3 1 1
Cartesian
0.000 2.276 0.000
0.000 0.000 2.276
2.276 0.000 0.000
0.000 0.000 0.000
2.276 2.276 2.276
```

Properties
Crystal system ... cubic

---

| no. | ΔH_f (0 K) (eV per atom) | distance to the lowest polymorph of the same formula (meV/atom) | raw total energy (eV per atom) |
| --- | --- | --- | --- |
| 1 | 0.056 | 127 | -5.26 |
| 2 | 0.315 | 0 | -4.22 |
| 3 | 0.931 | 0 | -8.49 |